No. 1
CeZn2Co2C | PBE | optimized geometry

Properties
Formation enthalpy at 0 K, eV per atom: -0.007
Raw total energy, eV/atom: -5.326
Volume, Å³ per cell: 95.7

a = 3.9719 Å, b = 3.9719 Å, c = 6.6829 Å
α = 107.29°, β = 107.29°, γ = 90.00°
Last column: nearest neighbours and their distance in Å.
Element x y z (fractional)
Co 0.8596 0.8596 0.7193  1 C 1.70
Zn 0.7500 0.2500 0.5000  4 Co 2.39
Zn 0.2500 0.7500 0.5000  4 Co 2.39
Co 0.1404 0.1404 0.2807  1 C 1.70
C 0.0000 0.0000 0.0000  2 Co 1.70
Ce 0.5000 0.5000 0.0000  4 C 2.81



No. 2
CeCr2C3 | PBE | optimized geometry

Properties
Formation enthalpy at 0 K, eV per atom: 0.053
Raw total energy, eV/atom: -8.756
Volume, Å³ per cell: 146.1

a = 4.8547 Å, b = 5.6617 Å, c = 6.0208 Å
α = 118.05°, β = 90.00°, γ = 90.00°
Last column: nearest neighbours and their distance in Å.
Element x y z (fractional)
C 0.7500 0.7526 0.2552  1 C 1.42
C 0.2500 0.4974 0.7448  1 C 1.42
Ce 0.2500 0.7398 0.4796  6 C 2.55-2.80
C 0.2500 0.0805 0.1609  4 Cr 1.95
Cr 0.0000 0.7757 0.0000  4 C 1.95-2.01
C 0.7500 0.9195 0.8391  4 Cr 1.95
Cr 0.5000 0.7757 0.0000  4 C 1.95-2.01
C 0.2500 0.2474 0.7448  1 C 1.42
Ce 0.7500 0.2602 0.5204  6 C 2.55-2.80
C 0.7500 0.5026 0.2552  1 C 1.42
Cr 0.5000 0.2243 0.0000  4 C 1.95-2.01
Cr 0.0000 0.2243 0.0000  4 C 1.95-2.01



No. 3
Ce2Cr2C3 | PBE | optimized geometry

Properties
Formation enthalpy at 0 K, eV per atom: -0.239
Raw total energy, eV/atom: -8.637
Volume, Å³ per cell: 94.3

a = 3.3085 Å, b = 6.4441 Å, c = 5.9994 Å
α = 128.06°, β = 106.01°, γ = 90.00°
Last column: nearest neighbours and their distance in Å.
Element x y z (fractional)
C 0.1835 0.6186 0.3671  3 Cr 1.99-2.09
Cr 0.7980 0.6830 0.5959  4 C 1.87-2.09
C 0.0000 0.0000 0.0000  2 Cr 1.87
Ce 0.5661 0.7940 0.1321  4 C 2.53-2.80
Cr 0.2020 0.3170 0.4041  4 C 1.87-2.09
Ce 0.4339 0.2060 0.8679  4 C 2.53-2.80
C 0.8165 0.3814 0.6329  3 Cr 1.99-2.09



No. 4
CeCrC3 | PBE | optimized geometry

Properties
Formation enthalpy at 0 K, eV per atom: 0.449
Raw total energy, eV/atom: -8.197
Volume, Å³ per cell: 113.9

a = 3.8779 Å, b = 5.4198 Å, c = 5.4217 Å
α = 90.00°, β = 90.00°, γ = 90.00°
Last column: nearest neighbours and their distance in Å.
Element x y z (fractional)
C 0.5000 0.0000 0.5000  2 Cr 1.94
C 0.0000 0.7136 0.2863  2 Cr 1.94
C 0.0000 0.2136 0.2137  2 Cr 1.94
Ce 0.5000 0.0000 0.0000  8 C 2.54-2.71
Ce 0.5000 0.5000 0.5000  8 C 2.54-2.71
C 0.5000 0.5000 0.0000  2 Cr 1.94
Cr 0.0000 0.5000 0.0000  6 C 1.94
Cr 0.0000 0.0000 0.5000  6 C 1.94
C 0.0000 0.2864 0.7137  2 Cr 1.94
C 0.0000 0.7864 0.7863  2 Cr 1.94



No. 5
Ce3CrC3 | PBE | optimized geometry

Properties
Formation enthalpy at 0 K, eV per atom: -0.177
Raw total energy, eV/atom: -8.048
Volume, Å³ per cell: 232.4

a = 5.2814 Å, b = 6.6789 Å, c = 6.6799 Å
α = 99.49°, β = 90.00°, γ = 90.00°
Last column: nearest neighbours and their distance in Å.
Element x y z (fractional)
C 0.2500 0.5749 0.8326  1 Cr 1.88
Cr 0.2500 0.3052 0.6948  3 C 1.86-1.88
Ce 0.7500 0.5807 0.8266  5 C 2.56-2.65
C 0.7500 0.4251 0.1674  1 Cr 1.88
Ce 0.2500 0.8809 0.1191  5 C 2.46-2.64
Cr 0.7500 0.6948 0.3052  3 C 1.86-1.88
Ce 0.7500 0.1191 0.8809  5 C 2.46-2.64
Ce 0.2500 0.4193 0.1734  5 C 2.56-2.65
C 0.2500 0.1675 0.4252  1 Cr 1.88
Ce 0.7500 0.1735 0.4192  5 C 2.56-2.65
C 0.7500 0.8773 0.1227  1 Cr 1.86
Ce 0.2500 0.8265 0.5808  5 C 2.56-2.65
C 0.7500 0.8325 0.5748  1 Cr 1.88
C 0.2500 0.1227 0.8773  1 Cr 1.86



No. 6
CeCrC2 | PBE | optimized geometry

Properties
Formation enthalpy at 0 K, eV per atom: -0.089
Raw total energy, eV/atom: -8.590
Volume, Å³ per cell: 218.9

a = 5.4327 Å, b = 6.1848 Å, c = 7.2531 Å
α = 90.00°, β = 90.00°, γ = 116.05°
Last column: nearest neighbours and their distance in Å.
Element x y z (fractional)
Ce 0.3274 0.6549 0.9272  6 C 2.49-2.72
Cr 0.5612 0.1223 0.6484  4 C 1.85-1.96
C 0.6121 0.2241 0.4031  2 Cr 1.87-1.96
C 0.0981 0.6962 0.2500  2 Cr 1.85
C 0.8879 0.7759 0.9031  2 Cr 1.87-1.96
Ce 0.1726 0.3451 0.4272  6 C 2.49-2.72
Cr 0.4388 0.8777 0.3516  4 C 1.85-1.96
C 0.4019 0.3038 0.7500  2 Cr 1.85
C 0.3879 0.7759 0.5969  2 Cr 1.87-1.96
Ce 0.6726 0.3451 0.0728  6 C 2.49-2.72
C 0.9019 0.3038 0.7500  2 Cr 1.85
C 0.5981 0.6962 0.2500  2 Cr 1.85
Cr 0.9388 0.8777 0.1484  4 C 1.85-1.96
C 0.1121 0.2241 0.0969  2 Cr 1.87-1.96
Cr 0.0612 0.1223 0.8516  4 C 1.85-1.96
Ce 0.8274 0.6549 0.5728  6 C 2.49-2.72



No. 7
CeCrC2 | PBE | optimized geometry

Properties
Formation enthalpy at 0 K, eV per atom: 0.120
Raw total energy, eV/atom: -8.381
Volume, Å³ per cell: 47.5

a = 3.1605 Å, b = 3.1605 Å, c = 5.7829 Å
α = 74.14°, β = 74.14°, γ = 60.00°
Last column: nearest neighbours and their distance in Å.
Element x y z (fractional)
Cr 0.0000 0.0000 0.0000  6 C 2.10
C 0.2697 0.2697 0.1908  3 Cr 2.10
C 0.7303 0.7303 0.8092  3 Cr 2.10
Ce 0.5000 0.5000 0.5000  6 C 2.49



No. 8
CeCrC2 | PBE | optimized geometry

Properties
Formation enthalpy at 0 K, eV per atom: -0.119
Raw total energy, eV/atom: -8.620
Volume, Å³ per cell: 199.2

a = 3.5647 Å, b = 5.5260 Å, c = 10.1101 Å
α = 90.00°, β = 90.00°, γ = 90.00°
Last column: nearest neighbours and their distance in Å.
Element x y z (fractional)
Cr 0.7500 0.9237 0.6001  4 C 1.92-2.01
Cr 0.2500 0.0763 0.3999  4 C 1.92-2.01
Cr 0.2500 0.5763 0.1001  4 C 1.92-2.01
C 0.2500 0.3565 0.2467  1 Cr 1.92
Ce 0.7500 0.0881 0.1406  5 C 2.45-2.55
Ce 0.2500 0.9119 0.8594  5 C 2.45-2.55
C 0.2500 0.8105 0.5353  3 Cr 2.00-2.01
C 0.7500 0.6435 0.7533  1 Cr 1.92
Cr 0.7500 0.4237 0.8999  4 C 1.92-2.01
Ce 0.7500 0.5881 0.3594  5 C 2.45-2.55
Ce 0.2500 0.4119 0.6406  5 C 2.45-2.55
C 0.2500 0.8565 0.2533  1 Cr 1.92
C 0.7500 0.1895 0.4647  3 Cr 2.00-2.01
C 0.7500 0.6895 0.0353  3 Cr 2.00-2.01
C 0.7500 0.1435 0.7467  1 Cr 1.92
C 0.2500 0.3105 0.9647  3 Cr 2.00-2.01